# 1
The following is a PBE-GGA calculation of a relaxed structure of Ho2Sc3Si4, from Alexandria.

Properties
For the total moment, the calculation gives 0.000 μB per atom. The value obtained for the energy relative to the lowest polymorph listed for this composition is 2.0 kJ/mol of formula units. For the uncorrected formation energy, the calculation gives -831 meV per atom. The calculation puts the calculated volume at 364 Å³ per cell. The space group is P2_1/c (14).

abc: 7.3565 7.3729 7.0538
angles: 90.00 108.17 90.00
Atoms (fractional coordinates):
Ho  0.1943  0.1745  0.0733
Ho  0.1943  0.3255  0.5733
Ho  0.8057  0.6745  0.4267
Ho  0.8057  0.8255  0.9267
Sc  0.2487  0.6797  0.2488
Sc  0.2487  0.8203  0.7488
Sc  0.5000  0.0000  0.5000
Sc  0.5000  0.5000  0.0000
Sc  0.7513  0.1797  0.2512
Sc  0.7513  0.3203  0.7512
Si  0.0773  0.5353  0.8654
Si  0.0773  0.9647  0.3654
Si  0.4928  0.1216  0.8724
Si  0.4928  0.3784  0.3724
Si  0.5072  0.6216  0.6276
Si  0.5072  0.8784  0.1276
Si  0.9227  0.0353  0.6346
Si  0.9227  0.4647  0.1346



# 2
The following is a PBE-GGA calculation of a relaxed structure of BaAgP2, from Alexandria.

Properties
For the total moment, the calculation gives 0.000 μB per atom. As for the formation energy from the elements: -0.377 eV/atom. The value obtained for the energy relative to the lowest polymorph listed for this composition is 41.4 kJ/mol of formula units. The calculation puts the calculated volume at 103 Å³ per cell. The space group is C2/m (12).

abc: 5.2763 5.2763 6.4517
angles: 126.92 126.92 50.33
Atoms (fractional coordinates):
Ba  0.0000  0.0000  0.0000
Ag  0.5000  0.5000  0.5000
P  0.1597  0.1597  0.6586
P  0.8403  0.8403  0.3414



# 3
The following is a PBE-GGA calculation of a relaxed structure of Cd2Br, from Alexandria.

Properties
For the total moment, the calculation gives 0.000 μB per atom. The value obtained for the energy relative to the lowest polymorph listed for this composition is 65.1 kJ/mol of formula units. For the uncorrected formation energy, the calculation gives -56 meV per atom. The calculation puts the calculated volume at 413 Å³ per cell. The space group is Pa-3 (205).

abc: 7.4458 7.4458 7.4458
angles: 90.00 90.00 90.00
Atoms (fractional coordinates):
Cd  0.1089  0.1089  0.1089
Cd  0.1089  0.3911  0.6089
Cd  0.3911  0.6089  0.1089
Cd  0.3911  0.8911  0.6089
Cd  0.6089  0.1089  0.3911
Cd  0.6089  0.3911  0.8911
Cd  0.8911  0.6089  0.3911
Cd  0.8911  0.8911  0.8911
Br  0.0000  0.0000  0.5000
Br  0.0000  0.5000  0.0000
Br  0.5000  0.0000  0.0000
Br  0.5000  0.5000  0.5000



# 4
The following is a PBE-GGA calculation of a relaxed structure of Th2MgSi2Ru5, from Alexandria.

Properties
For the total moment, the calculation gives 0.000 μB per atom. For the uncorrected formation energy, the calculation gives -575 meV per atom. The calculation puts the calculated volume at 350 Å³ per cell. The space group is P4/mbm (127).

abc: 10.1484 10.1484 3.3950
angles: 90.00 90.00 90.00
Atoms (fractional coordinates):
Th  0.1761  0.3239  0.0000
Th  0.3239  0.8239  0.0000
Th  0.6761  0.1761  0.0000
Th  0.8239  0.6761  0.0000
Mg  0.0000  0.0000  0.0000
Mg  0.5000  0.5000  0.0000
Si  0.1227  0.6227  0.0000
Si  0.3773  0.1227  0.0000
Si  0.6227  0.8773  0.0000
Si  0.8773  0.3773  0.0000
Ru  0.0000  0.5000  0.5000
Ru  0.0687  0.7823  0.5000
Ru  0.2177  0.0687  0.5000
Ru  0.2823  0.5687  0.5000
Ru  0.4313  0.2823  0.5000
Ru  0.5000  0.0000  0.5000
Ru  0.5687  0.7177  0.5000
Ru  0.7177  0.4313  0.5000
Ru  0.7823  0.9313  0.5000
Ru  0.9313  0.2177  0.5000



For reference, total DFT energy (no corrections) by record: -6.37; -4.28; -1.22; -7.94 eV/atom.